# 1
Compound: CaN2Cl
Source: Alexandria via LeMat-Bulk
Functional: GGA-PBE
Structure: optimized geometry

Values from the calculation:
* symmetry: I-42d
* energy relative to the elements, uncorrected: 1.113 eV per atom

Cell: 4.802 4.802 11.435 Å, 90.00 90.00 90.00°
Positions (direct):
Ca 0.000 0.000 0.000
Ca 0.000 0.500 0.250
Ca 0.500 0.000 0.750
Ca 0.500 0.500 0.500
N 0.185 0.250 0.625
N 0.250 0.685 0.875
N 0.250 0.815 0.375
N 0.315 0.250 0.125
N 0.685 0.750 0.125
N 0.750 0.185 0.375
N 0.750 0.315 0.875
N 0.815 0.750 0.625
Cl 0.000 0.000 0.500
Cl 0.000 0.500 0.750
Cl 0.500 0.000 0.250
Cl 0.500 0.500 0.000

# 2
Compound: CaN2Cl3
Source: Alexandria via LeMat-Bulk
Functional: GGA-PBE
Structure: optimized geometry

Values from the calculation:
* symmetry: C2/c
* energy relative to the elements, uncorrected: 0.079 eV per atom

Cell: 7.045 7.045 7.621 Å, 104.43 104.43 65.12°
Positions (direct):
Ca 0.081 0.919 0.750
Ca 0.919 0.081 0.250
N 0.308 0.512 0.803
N 0.488 0.692 0.697
N 0.512 0.308 0.303
N 0.692 0.488 0.197
Cl 0.028 0.730 0.393
Cl 0.270 0.972 0.107
Cl 0.485 0.515 0.250
Cl 0.515 0.485 0.750
Cl 0.730 0.028 0.893
Cl 0.972 0.270 0.607

# 3
Compound: CaNCl2
Source: Alexandria via LeMat-Bulk
Functional: GGA-PBE
Structure: optimized geometry

Values from the calculation:
* symmetry: Fm-3m
* energy relative to the elements, uncorrected: -0.398 eV per atom

Cell: 6.900 6.900 6.900 Å, 90.00 90.00 90.00°
Positions (direct):
Ca 0.000 0.000 0.000
Ca 0.000 0.500 0.500
Ca 0.500 0.000 0.500
Ca 0.500 0.500 0.000
N 0.000 0.000 0.500
N 0.000 0.500 0.000
N 0.500 0.000 0.000
N 0.500 0.500 0.500
Cl 0.250 0.250 0.250
Cl 0.250 0.250 0.750
Cl 0.250 0.750 0.250
Cl 0.250 0.750 0.750
Cl 0.750 0.250 0.250
Cl 0.750 0.250 0.750
Cl 0.750 0.750 0.250
Cl 0.750 0.750 0.750

# 4
Compound: Ca2NiNCl
Source: Alexandria via LeMat-Bulk
Functional: GGA-PBE
Structure: optimized geometry

Values from the calculation:
* symmetry: P4/mmm
* energy relative to the elements, uncorrected: 0.184 eV per atom

Cell: 5.145 5.145 3.990 Å, 90.00 90.00 90.00°
Positions (direct):
Ca 0.000 0.500 0.000
Ca 0.500 0.000 0.000
Ni 0.000 0.000 0.500
N 0.500 0.500 0.500
Cl 0.000 0.000 0.000

# 5
Compound: CaNCl2O
Source: Alexandria via LeMat-Bulk
Functional: GGA-PBE
Structure: optimized geometry

Values from the calculation:
* symmetry: P4/mmm
* energy relative to the elements, uncorrected: -0.063 eV per atom

Cell: 4.224 4.224 4.219 Å, 90.00 90.00 90.00°
Positions (direct):
Ca 0.000 0.000 0.000
N 0.500 0.500 0.500
Cl 0.000 0.500 0.500
Cl 0.500 0.000 0.500
O 0.500 0.500 0.000

# 6
Compound: CaN2ClO
Source: Alexandria via LeMat-Bulk
Functional: GGA-PBE
Structure: optimized geometry

Values from the calculation:
* symmetry: P4/mmm
* energy relative to the elements, uncorrected: 1.074 eV per atom

Cell: 3.447 3.447 7.426 Å, 90.00 90.00 90.00°
Positions (direct):
Ca 0.000 0.000 0.000
N 0.000 0.500 0.500
N 0.500 0.000 0.500
Cl 0.000 0.000 0.500
O 0.500 0.500 0.000

# 7
Compound: CaN2ClO
Source: Alexandria via LeMat-Bulk
Functional: GGA-PBE
Structure: optimized geometry

Values from the calculation:
* symmetry: P4/mmm
* energy relative to the elements, uncorrected: 1.305 eV per atom

Cell: 4.933 4.933 4.512 Å, 90.00 90.00 90.00°
Positions (direct):
Ca 0.000 0.000 0.000
N 0.000 0.500 0.000
N 0.500 0.000 0.000
Cl 0.500 0.500 0.500
O 0.000 0.000 0.500

# 8
Compound: CaPNCl2
Source: Alexandria via LeMat-Bulk
Functional: GGA-PBE
Structure: optimized geometry

Values from the calculation:
* symmetry: P4/mmm
* energy relative to the elements, uncorrected: 0.544 eV per atom

Cell: 5.231 5.231 6.678 Å, 90.00 90.00 90.00°
Positions (direct):
Ca 0.000 0.000 0.000
P 0.000 0.000 0.500
N 0.500 0.500 0.500
Cl 0.000 0.500 0.000
Cl 0.500 0.000 0.000

In the order shown, the computed total DFT energy (no corrections) values come out to -4.0117; -3.9534; -3.9028; -3.8076; -3.8590; -4.0179; -3.7865; -3.3418 eV per atom.